CsZr3Ti | PBE | optimized geometry

Unit cell a=5.2237 b=5.2237 c=5.2237 alpha=90.00 beta=90.00 gamma=90.00
Element x y z (fractional)
Cs: 0.0000 0.0000 0.0000
Zr: 0.0000 0.0000 0.5000
Zr: 0.0000 0.5000 0.0000
Zr: 0.5000 0.0000 0.0000
Ti: 0.5000 0.5000 0.5000

Calculated values
Its total magnetization is 1.49 μB per cell. The space group is Pm-3m, No. 221. As for the total energy: -4.8322 eV/atom. The formation energy is 10.2 eV per formula unit. The excess energy over the best structure of this formula in the dataset comes out at 933 meV/atom.